(1)
Ce4Pd12Au: optimized geometry, GGA-PBE.

```
17
Lattice="-4.315 4.315 4.315 4.315 -4.315 4.315 4.315 4.315 -4.315" Properties=species:S:1:pos:R:3 pbc="T T T"
Ce 2.157 2.157 -2.157
Ce 2.157 -2.157 2.157
Ce -2.157 2.157 2.157
Ce 2.157 2.157 2.157
Pd 2.618 0.000 0.000
Pd 6.011 0.000 0.000
Pd 4.315 2.157 0.000
Pd 4.315 0.000 2.157
Pd 0.000 2.618 0.000
Pd 0.000 0.000 2.618
Pd 2.157 4.315 0.000
Pd 2.157 0.000 4.315
Pd 0.000 6.011 0.000
Pd 0.000 0.000 6.011
Pd 0.000 4.315 2.157
Pd 0.000 2.157 4.315
Au 0.000 0.000 0.000
```

---

(2)
16
Lattice="4.698 0.000 0.000 0.000 4.698 0.000 0.000 0.000 18.634" Properties=species:S:1:pos:R:3 comment="GGA-PBE BaIr2Pd, optimized geometry" polymorph_energy_mev_per_atom=0 pbc="T T T"
Ba 0.000 0.000 0.000
Ba 0.000 2.349 4.658
Ba 2.349 0.000 13.975
Ba 2.349 2.349 9.317
Ir 0.345 1.175 11.646
Ir 1.175 2.694 16.305
Ir 1.175 4.353 6.988
Ir 2.004 1.175 2.329
Ir 2.694 3.524 2.329
Ir 3.524 0.345 6.988
Ir 3.524 2.004 16.305
Ir 4.353 3.524 11.646
Pd 0.000 0.000 9.317
Pd 0.000 2.349 13.975
Pd 2.349 0.000 4.658
Pd 2.349 2.349 0.000

---

Calculated volume, 18.899; 25.706 Å³/atom (same order as the records).
Calculated E_form, -0.69; 0.23 eV/atom (same order as the records).